No. 1
A plane-wave DFT calculation with PBE was carried out for CuAgSbI5 after structural relaxation.

Values from the calculation:
The value obtained for the formation energy without anion corrections is -1.10 eV/f.u. The calculated volume comes out at 40.47 Å³ per atom.

a = 9.812 Å, b = 11.757 Å, c = 11.614 Å
α = 90.00°, β = 104.86°, γ = 90.00°
Space group C2/c (No. 15)
Asymmetric unit:
Cu: 0.000 0.066 0.250 (multiplicity 4)
Ag: 0.250 0.250 0.000 (multiplicity 4)
Sb: 0.000 0.369 0.250 (multiplicity 4)
I: 0.000 0.389 0.750 (multiplicity 4)
I: 0.033 0.181 0.444 (multiplicity 8)
I: 0.209 0.096 0.804 (multiplicity 8)

---

No. 2
A plane-wave DFT calculation with PBE was carried out for YAgC3 after structural relaxation.

Values from the calculation:
The calculated volume comes out at 14.39 Å³ per atom. As for the energy above the most stable polymorph in this dataset: 0.000 eV per atom. The calculated formation energy comes out at 2.203 eV per atom.

a = 4.159 Å, b = 4.159 Å, c = 4.159 Å
α = 90.00°, β = 90.00°, γ = 90.00°
Space group Pm-3m (No. 221)
Asymmetric unit:
Y: 0.000 0.000 0.000 (multiplicity 1)
Ag: 0.500 0.500 0.500 (multiplicity 1)
C: 0.000 0.500 0.500 (multiplicity 3)

---

No. 3
A plane-wave DFT calculation with PBE was carried out for Sm6DySc3 after structural relaxation.

Values from the calculation:
The calculated volume comes out at 30.99 Å³ per atom. As for the energy above the most stable polymorph in this dataset: 0.000 eV per atom. The calculated formation energy comes out at 0.139 eV per atom.

a = 9.510 Å, b = 20.740 Å, c = 6.284 Å
α = 90.00°, β = 90.00°, γ = 90.00°
Space group Cmc2_1 (No. 36)
Asymmetric unit:
Sm: 0.000 0.015 0.000 (multiplicity 4)
Sm: 0.000 0.302 0.026 (multiplicity 4)
Sm: 0.176 0.281 0.547 (multiplicity 8)
Sm: 0.179 0.443 0.810 (multiplicity 8)
Dy: 0.000 0.154 0.237 (multiplicity 4)
Sc: 0.000 0.417 0.328 (multiplicity 4)
Sc: 0.167 0.126 0.712 (multiplicity 8)

---

No. 4
A plane-wave DFT calculation with PBE was carried out for FeReSi2 after structural relaxation.

Values from the calculation:
The value obtained for the formation energy without anion corrections is -0.38 eV/f.u. The calculated volume comes out at 12.82 Å³ per atom.

a = 2.783 Å, b = 3.719 Å, c = 4.954 Å
α = 90.00°, β = 90.00°, γ = 90.00°
Space group Pmmm (No. 47)
Asymmetric unit:
Fe: 0.000 0.000 0.000 (multiplicity 1)
Re: 0.500 0.000 0.500 (multiplicity 1)
Si: 0.000 0.500 0.253 (multiplicity 2)

---

No. 5
A plane-wave DFT calculation with PBE was carried out for LiBeNi2 after structural relaxation.

Values from the calculation:
The calculated volume comes out at 10.09 Å³ per atom. The calculated formation energy comes out at -0.073 eV per atom.

a = 2.644 Å, b = 3.742 Å, c = 4.081 Å
α = 90.00°, β = 90.00°, γ = 90.00°
Space group Pmmm (No. 47)
Asymmetric unit:
Li: 0.000 0.000 0.000 (multiplicity 1)
Be: 0.500 0.000 0.500 (multiplicity 1)
Ni: 0.000 0.500 0.500 (multiplicity 1)
Ni: 0.500 0.500 0.000 (multiplicity 1)

---

No. 6
A plane-wave DFT calculation with PBE was carried out for RbSrY3 after structural relaxation.

Values from the calculation:
The calculated volume comes out at 44.45 Å³ per atom. As for the energy above the most stable polymorph in this dataset: 0.040 eV per atom. The calculated formation energy comes out at 1.045 eV per atom.

a = 6.057 Å, b = 6.057 Å, c = 6.057 Å
α = 90.00°, β = 90.00°, γ = 90.00°
Space group Pm-3m (No. 221)
Asymmetric unit:
Rb: 0.000 0.000 0.000 (multiplicity 1)
Sr: 0.500 0.500 0.500 (multiplicity 1)
Y: 0.000 0.500 0.500 (multiplicity 3)